Version 1
Entry from Alexandria: a geometry-optimized U2MoAs structure (PBE).

SG: No. 166
Spin magnetization: 0.000 μB/f.u.
DOS at the Fermi energy: 7.2 states/eV/f.u.

CIF file:
```
data_U2MoAs
_chemical_formula_sum 'U2 Mo1 As1'
_cell_length_a 9.831
_cell_length_b 9.831
_cell_length_c 9.831
_cell_angle_alpha 17.77
_cell_angle_beta 17.77
_cell_angle_gamma 17.77
_symmetry_space_group_name_H-M 'P 1'
_symmetry_Int_Tables_number 1
_symmetry_space_group_name_Hall 'P 1'
loop_
_atom_site_label
_atom_site_type_symbol
_atom_site_fract_x
_atom_site_fract_y
_atom_site_fract_z
U1 U 0.247 0.247 0.247
U2 U 0.753 0.753 0.753
Mo1 Mo 0.500 0.500 0.500
As1 As 0.000 0.000 0.000
```



Version 2
Entry from Alexandria: a geometry-optimized U2MoAs structure (PBE).

SG: No. 123
Spin magnetization: 0.001 μB/f.u.
DOS at the Fermi energy: 7.5 states/eV/f.u.

CIF file:
```
data_U2MoAs
_chemical_formula_sum 'U2 Mo1 As1'
_cell_length_a 3.700
_cell_length_b 3.700
_cell_length_c 5.782
_cell_angle_alpha 90.00
_cell_angle_beta 90.00
_cell_angle_gamma 90.00
_symmetry_space_group_name_H-M 'P 1'
_symmetry_Int_Tables_number 1
_symmetry_space_group_name_Hall 'P 1'
loop_
_atom_site_label
_atom_site_type_symbol
_atom_site_fract_x
_atom_site_fract_y
_atom_site_fract_z
U1 U 0.000 0.000 0.219
U2 U 0.000 0.000 0.781
Mo1 Mo 0.500 0.500 0.500
As1 As 0.500 0.500 0.000
```



Which of them is the most stable, and which is the least stable? version 2 and version 1, in that order.



Version 1
Entry from Alexandria: a geometry-optimized V3MoAs structure (PBE).

SG: No. 15
Spin magnetization: 0.000 μB/f.u.
DOS at the Fermi energy: 3.5 states/eV/f.u.

CIF file:
```
data_V3MoAs
_chemical_formula_sum 'V12 Mo4 As4'
_cell_length_a 5.011
_cell_length_b 5.011
_cell_length_c 13.171
_cell_angle_alpha 99.91
_cell_angle_beta 99.91
_cell_angle_gamma 64.45
_symmetry_space_group_name_H-M 'P 1'
_symmetry_Int_Tables_number 1
_symmetry_space_group_name_Hall 'P 1'
loop_
_atom_site_label
_atom_site_type_symbol
_atom_site_fract_x
_atom_site_fract_y
_atom_site_fract_z
V1 V 0.034 0.333 0.788
V2 V 0.058 0.903 0.912
V3 V 0.097 0.942 0.588
V4 V 0.126 0.431 0.594
V5 V 0.333 0.034 0.288
V6 V 0.431 0.126 0.094
V7 V 0.569 0.874 0.906
V8 V 0.667 0.966 0.712
V9 V 0.874 0.569 0.406
V10 V 0.903 0.058 0.412
V11 V 0.942 0.097 0.088
V12 V 0.966 0.667 0.212
Mo1 Mo 0.361 0.546 0.405
Mo2 Mo 0.454 0.639 0.095
Mo3 Mo 0.546 0.361 0.905
Mo4 Mo 0.639 0.454 0.595
As1 As 0.000 0.500 0.000
As2 As 0.297 0.703 0.750
As3 As 0.500 0.000 0.500
As4 As 0.703 0.297 0.250
```



Version 2
Entry from Alexandria: a geometry-optimized V3MoAs structure (PBE).

SG: No. 221
Spin magnetization: 0.000 μB/f.u.
DOS at the Fermi energy: 4.9 states/eV/f.u.

CIF file:
```
data_V3MoAs
_chemical_formula_sum 'V3 Mo1 As1'
_cell_length_a 4.559
_cell_length_b 4.559
_cell_length_c 4.559
_cell_angle_alpha 90.00
_cell_angle_beta 90.00
_cell_angle_gamma 90.00
_symmetry_space_group_name_H-M 'P 1'
_symmetry_Int_Tables_number 1
_symmetry_space_group_name_Hall 'P 1'
loop_
_atom_site_label
_atom_site_type_symbol
_atom_site_fract_x
_atom_site_fract_y
_atom_site_fract_z
V1 V 0.000 0.000 0.500
V2 V 0.000 0.500 0.000
V3 V 0.500 0.000 0.000
Mo1 Mo 0.000 0.000 0.000
As1 As 0.500 0.500 0.500
```



Which of them is the most stable, and which is the least stable? version 1 and version 2, in that order.